#i
First-principles (PBE) data for LaYP2O after structural relaxation, as listed in Alexandria.

abc: 5.258 5.258 4.287
angles: 90.00 90.00 90.00
Fractional coordinates of all 5 atoms:
Y (0.000, 0.000, 0.000)
O (0.000, 0.000, 0.500)
La (0.500, 0.500, 0.500)
P (0.500, 0.000, 0.000)
P (0.000, 0.500, 0.000)

Output
Fermi-level density of states = 6.15 states/eV/cell

***

#ii
First-principles (PBE) data for LaYP2O after structural relaxation, as listed in Alexandria.

abc: 5.443 5.443 4.224
angles: 90.00 90.00 90.00
Fractional coordinates of all 5 atoms:
P (0.500, 0.000, 0.000)
P (0.000, 0.500, 0.000)
La (0.000, 0.000, 0.000)
Y (0.500, 0.500, 0.500)
O (0.000, 0.000, 0.500)

Output
Fermi-level density of states = 6.18 states/eV/cell

***

Taking the most stable structure as the zero point, the relative energies in meV per atom are #i 0; #ii 391.

***

#i
First-principles (PBE) data for LaZnPO2 after structural relaxation, as listed in Alexandria.

abc: 4.174 4.174 4.467
angles: 90.00 90.00 90.00
Fractional coordinates of all 5 atoms:
La (0.500, 0.500, 0.500)
O (0.500, 0.000, 0.000)
O (0.000, 0.500, 0.000)
P (0.000, 0.000, 0.500)
Zn (0.000, 0.000, 0.000)

Output
Fermi-level density of states = 4.62 states/eV/cell

***

#ii
First-principles (PBE) data for LaZnPO2 after structural relaxation, as listed in Alexandria.

abc: 4.213 4.213 6.572
angles: 90.00 90.00 90.00
Fractional coordinates of all 5 atoms:
O (0.000, 0.500, 0.000)
O (0.500, 0.000, 0.000)
La (0.000, 0.000, 0.000)
Zn (0.500, 0.500, 0.500)
P (0.000, 0.000, 0.500)

Output
Fermi-level density of states = 3.76 states/eV/cell

***

Taking the most stable structure as the zero point, the relative energies in meV per atom are #i 0; #ii 334.

***

#i
First-principles (PBE) data for LaZrPO2 after structural relaxation, as listed in Alexandria.

abc: 4.223 4.223 6.140
angles: 90.00 90.00 90.00
Fractional coordinates of all 5 atoms:
O (0.500, 0.000, 0.000)
O (0.000, 0.500, 0.000)
Zr (0.500, 0.500, 0.500)
La (0.000, 0.000, 0.000)
P (0.000, 0.000, 0.500)

Output
Fermi-level density of states = 4.99 states/eV/cell

***

#ii
First-principles (PBE) data for LaZrPO2 after structural relaxation, as listed in Alexandria.

abc: 4.191 4.191 5.277
angles: 90.00 90.00 90.00
Fractional coordinates of all 5 atoms:
O (0.000, 0.500, 0.000)
O (0.500, 0.000, 0.000)
La (0.500, 0.500, 0.500)
Zr (0.000, 0.000, 0.000)
P (0.000, 0.000, 0.500)

Output
Fermi-level density of states = 0.01 states/eV/cell

***

Taking the most stable structure as the zero point, the relative energies in meV per atom are #i 1294; #ii 0.

***

#i
First-principles (PBE) data for LaZrP2O after structural relaxation, as listed in Alexandria.

abc: 5.116 5.116 4.103
angles: 90.00 90.00 90.00
Fractional coordinates of all 5 atoms:
O (0.000, 0.000, 0.500)
P (0.000, 0.500, 0.000)
P (0.500, 0.000, 0.000)
La (0.500, 0.500, 0.500)
Zr (0.000, 0.000, 0.000)

Output
Fermi-level density of states = 5.43 states/eV/cell

***

#ii
First-principles (PBE) data for LaZrP2O after structural relaxation, as listed in Alexandria.

abc: 5.403 5.403 4.121
angles: 90.00 90.00 90.00
Fractional coordinates of all 5 atoms:
P (0.000, 0.500, 0.000)
P (0.500, 0.000, 0.000)
La (0.000, 0.000, 0.000)
O (0.000, 0.000, 0.500)
Zr (0.500, 0.500, 0.500)

Output
Fermi-level density of states = 5.50 states/eV/cell

***

Taking the most stable structure as the zero point, the relative energies in meV per atom are #i 0; #ii 1254.